Entry from Alexandria via LeMat-Bulk: a relaxed structure of Li3Ac2In4Ag (PBE).

- Space-group type: No. 115
- Uncorrected energy: -3.100 eV/atom
- DOS at the Fermi energy: 0.9491 states/eV per atom

```
Li3Ac2In4Ag
1.0
4.7795 0.0000 0.0000
0.0000 4.7795 0.0000
0.0000 0.0000 11.1561
Li Ac In Ag
3 2 4 1
Direct
0.0000 0.0000 0.0000 Li
0.0000 0.5000 0.6257 Li
0.5000 0.0000 0.3743 Li
0.0000 0.5000 0.2447 Ac
0.5000 0.0000 0.7553 Ac
0.0000 0.0000 0.5000 In
0.0000 0.5000 0.8670 In
0.5000 0.0000 0.1330 In
0.5000 0.5000 0.5000 In
0.5000 0.5000 0.0000 Ag
```



Entry from Alexandria via LeMat-Bulk: a relaxed structure of Li4AcIn2Ag (PBE).

- Space-group type: No. 166
- Uncorrected energy: -2.701 eV/atom
- DOS at the Fermi energy: 0.7075 states/eV per atom

```
Li4AcIn2Ag
1.0
2.4684 1.4251 8.4003
-2.4684 1.4251 8.4003
0.0000 -2.8502 8.4003
Li Ac In Ag
4 1 2 1
Direct
0.1001 0.1001 0.1001 Li
0.3628 0.3628 0.3628 Li
0.6372 0.6372 0.6372 Li
0.8999 0.8999 0.8999 Li
0.5000 0.5000 0.5000 Ac
0.2485 0.2485 0.2485 In
0.7515 0.7515 0.7515 In
0.0000 0.0000 0.0000 Ag
```



Entry from Alexandria via LeMat-Bulk: a relaxed structure of Li2AcInAg4 (PBE).

- Space-group type: No. 166
- Uncorrected energy: -2.944 eV/atom
- DOS at the Fermi energy: 0.4670 states/eV per atom

```
Li2AcInAg4
1.0
2.3125 1.3351 9.5707
-2.3125 1.3351 9.5707
0.0000 -2.6702 9.5707
Li Ac In Ag
2 1 1 4
Direct
0.2290 0.2290 0.2290 Li
0.7710 0.7710 0.7710 Li
0.0000 0.0000 0.0000 Ac
0.5000 0.5000 0.5000 In
0.1225 0.1225 0.1225 Ag
0.4024 0.4024 0.4024 Ag
0.5976 0.5976 0.5976 Ag
0.8775 0.8775 0.8775 Ag
```



Entry from Alexandria via LeMat-Bulk: a relaxed structure of Li4Ac2InAg3 (PBE).

- Space-group type: No. 115
- Uncorrected energy: -2.924 eV/atom
- DOS at the Fermi energy: 0.6340 states/eV per atom

```
Li4Ac2InAg3
1.0
4.5485 0.0000 0.0000
0.0000 4.5485 0.0000
0.0000 0.0000 11.4196
Li Ac In Ag
4 2 1 3
Direct
0.0000 0.0000 0.0000 Li
0.0000 0.5000 0.3709 Li
0.5000 0.0000 0.6291 Li
0.5000 0.5000 0.0000 Li
0.0000 0.5000 0.7437 Ac
0.5000 0.0000 0.2563 Ac
0.5000 0.5000 0.5000 In
0.0000 0.0000 0.5000 Ag
0.0000 0.5000 0.1358 Ag
0.5000 0.0000 0.8642 Ag
```



Entry from Alexandria via LeMat-Bulk: a relaxed structure of LiAc2In4Ag3 (PBE).

- Space-group type: No. 115
- Uncorrected energy: -3.283 eV/atom
- DOS at the Fermi energy: 0.6820 states/eV per atom

```
LiAc2In4Ag3
1.0
4.7286 0.0000 0.0000
0.0000 4.7286 0.0000
0.0000 0.0000 11.5823
Li Ac In Ag
1 2 4 3
Direct
0.0000 0.0000 0.0000 Li
0.0000 0.5000 0.7548 Ac
0.5000 0.0000 0.2452 Ac
0.0000 0.0000 0.5000 In
0.0000 0.5000 0.1255 In
0.5000 0.0000 0.8745 In
0.5000 0.5000 0.5000 In
0.0000 0.5000 0.3619 Ag
0.5000 0.0000 0.6381 Ag
0.5000 0.5000 0.0000 Ag
```



Entry from Alexandria via LeMat-Bulk: a relaxed structure of AcLuInAg (PBE).

- Space-group type: No. 216
- Uncorrected energy: -3.853 eV/atom
- DOS at the Fermi energy: 0.6816 states/eV per atom

```
AcLuInAg
1.0
7.7351 0.0000 0.0000
0.0000 7.7351 0.0000
0.0000 0.0000 7.7351
Ac Lu In Ag
4 4 4 4
Direct
0.0000 0.0000 0.0000 Ac
0.0000 0.5000 0.5000 Ac
0.5000 0.0000 0.5000 Ac
0.5000 0.5000 0.0000 Ac
0.0000 0.0000 0.5000 Lu
0.0000 0.5000 0.0000 Lu
0.5000 0.0000 0.0000 Lu
0.5000 0.5000 0.5000 Lu
0.2500 0.2500 0.2500 In
0.2500 0.7500 0.7500 In
0.7500 0.2500 0.7500 In
0.7500 0.7500 0.2500 In
0.2500 0.2500 0.7500 Ag
0.2500 0.7500 0.2500 Ag
0.7500 0.2500 0.2500 Ag
0.7500 0.7500 0.7500 Ag
```